--- a ---
# GGA-PBE Nb3MoRh, relaxed
data_Nb3MoRh
_chemical_formula_sum 'Nb3 Mo1 Rh1'
_symmetry_space_group_name_H-M 'P m -3 m'
_symmetry_Int_Tables_number 221
_symmetry_space_group_name_Hall '-P 4 2 3'
_cell_length_a 4.758
_cell_length_b 4.758
_cell_length_c 4.758
_cell_angle_alpha 90.00
_cell_angle_beta 90.00
_cell_angle_gamma 90.00
loop_
_atom_site_label
_atom_site_type_symbol
_atom_site_fract_x
_atom_site_fract_y
_atom_site_fract_z
Nb1 Nb 0.000 0.000 0.500
Mo1 Mo 0.000 0.000 0.000
Rh1 Rh 0.500 0.500 0.500
# Total magnetization: 0.00 μB per formula unit
# Crystal system: cubic

--- b ---
# GGA-PBE Nb3MoRh, relaxed
data_Nb3MoRh
_chemical_formula_sum 'Nb3 Mo1 Rh1'
_symmetry_space_group_name_H-M 'P m -3 m'
_symmetry_Int_Tables_number 221
_symmetry_space_group_name_Hall '-P 4 2 3'
_cell_length_a 4.758
_cell_length_b 4.758
_cell_length_c 4.758
_cell_angle_alpha 90.00
_cell_angle_beta 90.00
_cell_angle_gamma 90.00
loop_
_atom_site_label
_atom_site_type_symbol
_atom_site_fract_x
_atom_site_fract_y
_atom_site_fract_z
Nb1 Nb 0.000 0.000 0.500
Mo1 Mo 0.500 0.500 0.500
Rh1 Rh 0.000 0.000 0.000
# Total magnetization: 0.00 μB per formula unit
# Crystal system: cubic

Of them, b has the highest stability.

--- a ---
# GGA-PBE NbMoRh4, relaxed
data_NbMoRh4
_chemical_formula_sum 'Nb2 Mo2 Rh8'
_symmetry_space_group_name_H-M 'P m m a'
_symmetry_Int_Tables_number 51
_cell_length_a 8.728
_cell_length_b 2.756
_cell_length_c 7.553
_cell_angle_alpha 90.00
_cell_angle_beta 90.00
_cell_angle_gamma 90.00
loop_
_symmetry_equiv_pos_as_xyz
'x,y,z'
'-x,-y,-z'
'-x+1/2,-y,z'
'x+1/2,y,-z'
'x+1/2,-y,-z'
'-x+1/2,y,z'
'-x,y,-z'
'x,-y,z'
loop_
_atom_site_label
_atom_site_type_symbol
_atom_site_fract_x
_atom_site_fract_y
_atom_site_fract_z
Nb1 Nb 0.250 0.000 0.174
Mo1 Mo 0.250 0.000 0.536
Rh1 Rh 0.000 0.000 0.000
Rh2 Rh 0.021 0.500 0.329
Rh3 Rh 0.250 0.500 0.853
# Total magnetization: 0.00 μB per formula unit
# Crystal system: orthorhombic

--- b ---
# GGA-PBE NbMoRh4, relaxed
data_NbMoRh4
_chemical_formula_sum 'Nb2 Mo2 Rh8'
_symmetry_space_group_name_H-M 'P m m a'
_symmetry_Int_Tables_number 51
_cell_length_a 5.955
_cell_length_b 5.964
_cell_length_c 5.956
_cell_angle_alpha 90.00
_cell_angle_beta 90.00
_cell_angle_gamma 90.00
loop_
_symmetry_equiv_pos_as_xyz
'x,y,z'
'-x,-y,-z'
'-x+1/2,-y,z'
'x+1/2,y,-z'
'x+1/2,-y,-z'
'-x+1/2,y,z'
'-x,y,-z'
'x,-y,z'
loop_
_atom_site_label
_atom_site_type_symbol
_atom_site_fract_x
_atom_site_fract_y
_atom_site_fract_z
Nb1 Nb 0.250 0.000 0.249
Mo1 Mo 0.250 0.500 0.749
Rh1 Rh 0.000 0.254 0.500
Rh2 Rh 0.000 0.255 0.000
# Total magnetization: 0.00 μB per formula unit
# Crystal system: orthorhombic

Of them, a has the highest stability.

--- a ---
# GGA-PBE TiNbMoRh, relaxed
data_TiNbMoRh
_chemical_formula_sum 'Ti1 Nb1 Mo1 Rh1'
_symmetry_space_group_name_H-M 'P 4 m m'
_symmetry_Int_Tables_number 99
_cell_length_a 3.189
_cell_length_b 3.189
_cell_length_c 6.306
_cell_angle_alpha 90.00
_cell_angle_beta 90.00
_cell_angle_gamma 90.00
loop_
_symmetry_equiv_pos_as_xyz
'x,y,z'
'-y,x,z'
'-x,-y,z'
'y,-x,z'
'-x,y,z'
'y,x,z'
'x,-y,z'
'-y,-x,z'
loop_
_atom_site_label
_atom_site_type_symbol
_atom_site_fract_x
_atom_site_fract_y
_atom_site_fract_z
Ti1 Ti 0.000 0.000 0.000
Nb1 Nb 0.000 0.000 0.511
Mo1 Mo 0.500 0.500 0.756
Rh1 Rh 0.500 0.500 0.247
# Total magnetization: 0.00 μB per formula unit
# Crystal system: tetragonal

--- b ---
# GGA-PBE TiNbMoRh, relaxed
data_TiNbMoRh
_chemical_formula_sum 'Ti4 Nb4 Mo4 Rh4'
_symmetry_space_group_name_H-M 'F -4 3 m'
_symmetry_Int_Tables_number 216
_symmetry_space_group_name_Hall 'F -4 2 3'
_cell_length_a 6.341
_cell_length_b 6.341
_cell_length_c 6.341
_cell_angle_alpha 90.00
_cell_angle_beta 90.00
_cell_angle_gamma 90.00
loop_
_atom_site_label
_atom_site_type_symbol
_atom_site_fract_x
_atom_site_fract_y
_atom_site_fract_z
Ti1 Ti 0.000 0.000 0.000
Nb1 Nb 0.000 0.000 0.500
Mo1 Mo 0.250 0.250 0.250
Rh1 Rh 0.250 0.250 0.750
# Total magnetization: 0.00 μB per formula unit
# Crystal system: cubic

Of them, a has the highest stability.